# FeAuBr2

A geometry-optimized FeAuBr2 structure (PBE, Alexandria via LeMat-Bulk).

Results
E_form (uncorrected), eV per atom: 0.273
ΔE to the lowest computed polymorph, kcal/mol of atoms: 6.48

Geometry as POSCAR:
```
FeAuBr2
1.0
3.548 -0.002 0.000
-2.014 2.922 0.000
0.000 0.000 10.004
Br Au Fe
2 1 1
Cartesian
0.000 0.000 0.670
0.000 0.000 4.332
0.767 1.460 7.503
0.767 1.460 2.501
```